No. 1
# SCAN MgZn4Rh, single point on PBEsol structure
data_MgZn4Rh
_chemical_formula_sum 'Mg1 Zn4 Rh1'
_cell_length_a 4.9239
_cell_length_b 4.9239
_cell_length_c 4.9239
_cell_angle_alpha 60.00
_cell_angle_beta 60.00
_cell_angle_gamma 60.00
_space_group_name_H-M_alt 'P 1'
_space_group_IT_number 1
loop_
_space_group_symop_operation_xyz
'x,y,z'
loop_
_atom_site_label
_atom_site_type_symbol
_atom_site_fract_x
_atom_site_fract_y
_atom_site_fract_z
Mg1 Mg 0.0000 0.0000 0.0000
Zn1 Zn 0.3756 0.3756 0.3756
Zn2 Zn 0.3756 0.3756 0.8732
Zn3 Zn 0.3756 0.8732 0.3756
Zn4 Zn 0.8732 0.3756 0.3756
Rh1 Rh 0.7500 0.7500 0.7500
# * symmetry: F-43m, No. 216
# * Fermi-level density of states: 2.7 states/eV/cell
# * formation energy: -0.306 eV per atom



No. 2
# SCAN MgZn2Rh2, single point on PBEsol structure
data_MgZn2Rh2
_chemical_formula_sum 'Mg2 Zn4 Rh4'
_cell_length_a 3.6343
_cell_length_b 3.6343
_cell_length_c 11.9451
_cell_angle_alpha 90.00
_cell_angle_beta 90.00
_cell_angle_gamma 90.00
_space_group_name_H-M_alt 'P 1'
_space_group_IT_number 1
loop_
_space_group_symop_operation_xyz
'x,y,z'
loop_
_atom_site_label
_atom_site_type_symbol
_atom_site_fract_x
_atom_site_fract_y
_atom_site_fract_z
Mg1 Mg 0.0000 0.0000 0.0000
Mg2 Mg 0.5000 0.5000 0.5000
Zn1 Zn 0.0000 0.5000 0.2500
Zn2 Zn 0.0000 0.5000 0.7500
Zn3 Zn 0.5000 0.0000 0.2500
Zn4 Zn 0.5000 0.0000 0.7500
Rh1 Rh 0.0000 0.0000 0.3940
Rh2 Rh 0.0000 0.0000 0.6060
Rh3 Rh 0.5000 0.5000 0.1060
Rh4 Rh 0.5000 0.5000 0.8940
# * offset from the most stable computed form: 0.226 eV per atom
# * symmetry: I4/mmm, No. 139
# * Fermi-level density of states: 5.4 states/eV/cell
# * formation energy: -0.164 eV per atom



No. 3
# SCAN MgZn2Rh, single point on PBEsol structure
data_MgZn2Rh
_chemical_formula_sum 'Mg4 Zn8 Rh4'
_cell_length_a 6.1148
_cell_length_b 6.1148
_cell_length_c 6.1148
_cell_angle_alpha 90.00
_cell_angle_beta 90.00
_cell_angle_gamma 90.00
_space_group_name_H-M_alt 'P 1'
_space_group_IT_number 1
loop_
_space_group_symop_operation_xyz
'x,y,z'
loop_
_atom_site_label
_atom_site_type_symbol
_atom_site_fract_x
_atom_site_fract_y
_atom_site_fract_z
Mg1 Mg 0.0000 0.0000 0.0000
Mg2 Mg 0.0000 0.5000 0.5000
Mg3 Mg 0.5000 0.0000 0.5000
Mg4 Mg 0.5000 0.5000 0.0000
Zn1 Zn 0.0000 0.0000 0.5000
Zn2 Zn 0.0000 0.5000 0.0000
Zn3 Zn 0.2500 0.2500 0.7500
Zn4 Zn 0.2500 0.7500 0.2500
Zn5 Zn 0.5000 0.0000 0.0000
Zn6 Zn 0.5000 0.5000 0.5000
Zn7 Zn 0.7500 0.2500 0.2500
Zn8 Zn 0.7500 0.7500 0.7500
Rh1 Rh 0.2500 0.2500 0.2500
Rh2 Rh 0.2500 0.7500 0.7500
Rh3 Rh 0.7500 0.2500 0.7500
Rh4 Rh 0.7500 0.7500 0.2500
# * symmetry: F-43m, No. 216
# * Fermi-level density of states: 6.5 states/eV/cell
# * formation energy: -0.329 eV per atom



No. 4
# SCAN MgZn2Rh, single point on PBEsol structure
data_MgZn2Rh
_chemical_formula_sum 'Mg1 Zn2 Rh1'
_cell_length_a 3.1916
_cell_length_b 3.1916
_cell_length_c 5.7464
_cell_angle_alpha 90.00
_cell_angle_beta 90.00
_cell_angle_gamma 90.00
_space_group_name_H-M_alt 'P 1'
_space_group_IT_number 1
loop_
_space_group_symop_operation_xyz
'x,y,z'
loop_
_atom_site_label
_atom_site_type_symbol
_atom_site_fract_x
_atom_site_fract_y
_atom_site_fract_z
Mg1 Mg 0.0000 0.0000 0.0000
Zn1 Zn 0.0000 0.0000 0.4724
Zn2 Zn 0.5000 0.5000 0.7132
Rh1 Rh 0.5000 0.5000 0.2485
# * symmetry: P4mm, No. 99
# * Fermi-level density of states: 1.4 states/eV/cell
# * formation energy: -0.341 eV per atom